A | {
  "formula": "Ti3Bi2",
  "functional": "PBE-GGA",
  "state": "optimized geometry",
  "lattice_angstrom": [[7.433, 0.000, 0.000], [0.000, 7.433, 0.000], [0.000, 0.000, 3.748]],
  "species": ["Ti", "Ti", "Ti", "Ti", "Ti", "Ti", "Bi", "Bi", "Bi", "Bi"],
  "fractional_positions": [[0.000, 0.000, 0.000], [0.103, 0.680, 0.500], [0.320, 0.103, 0.500], [0.500, 0.500, 0.500], [0.680, 0.897, 0.500], [0.897, 0.320, 0.500], [0.193, 0.370, 0.000], [0.370, 0.807, 0.000], [0.630, 0.193, 0.000], [0.807, 0.630, 0.000]]
}

---

B | {
  "formula": "Ti3Bi2",
  "functional": "PBE-GGA",
  "state": "optimized geometry",
  "lattice_angstrom": [[11.152, 0.000, 0.000], [0.000, 3.824, 0.000], [0.000, 0.000, 10.131]],
  "species": ["Ti", "Ti", "Ti", "Ti", "Ti", "Ti", "Ti", "Ti", "Ti", "Ti", "Ti", "Ti", "Bi", "Bi", "Bi", "Bi", "Bi", "Bi", "Bi", "Bi"],
  "fractional_positions": [[0.031, 0.250, 0.113], [0.126, 0.750, 0.595], [0.193, 0.250, 0.790], [0.307, 0.750, 0.290], [0.374, 0.250, 0.095], [0.469, 0.750, 0.613], [0.531, 0.250, 0.387], [0.626, 0.750, 0.905], [0.693, 0.250, 0.710], [0.807, 0.750, 0.210], [0.874, 0.250, 0.405], [0.969, 0.750, 0.887], [0.049, 0.750, 0.325], [0.203, 0.750, 0.004], [0.297, 0.250, 0.504], [0.451, 0.250, 0.825], [0.549, 0.750, 0.175], [0.703, 0.750, 0.496], [0.797, 0.250, 0.996], [0.951, 0.250, 0.675]]
}

---

Energies relative to the most stable structure, in meV per atom: A 78; B 0.